RbLi2Te2 | SCAN | PBEsol geometry

## Properties
- electronic total energy (eV per cell) = -209.40
- E_form (uncorrected) (eV per atom) = -0.94

abc: 8.718 8.718 3.400
angles: 90.00 90.00 90.00
Space group P4/mbm (No. 127)
One atom of each set of equivalent atoms:
Rb: 0.000 0.000 0.000 x2
Li: 0.119 0.381 0.000 x4
Te: 0.168 0.668 0.500 x4